Entry from Alexandria via LeMat-Bulk: MnFeHgCl2 after structural relaxation (GGA-PBE).

Computed properties:
energy relative to the elements, uncorrected = 0.191 eV/atom

a b c (Å): 4.632 4.632 5.501
angles (deg): 90.00 90.00 90.00
Space group P4/mmm (No. 123)
Inequivalent atoms, fractional coordinates:
Mn  0.000  0.000  0.000 (multiplicity 1)
Fe  0.000  0.000  0.500 (multiplicity 1)
Hg  0.500  0.500  0.500 (multiplicity 1)
Cl  0.000  0.500  0.000 (multiplicity 2)

***

Entry from Alexandria via LeMat-Bulk: AsBrN after structural relaxation (GGA-PBE).

Computed properties:
energy relative to the elements, uncorrected = 0.558 eV/atom
relative energy among the computed polymorphs = 572 meV per atom

a b c (Å): 2.965 2.966 9.160
angles (deg): 83.48 84.22 61.76
Space group P1 (No. 1)
Inequivalent atoms, fractional coordinates:
As  0.000  0.000  0.000 (multiplicity 1)
Br  0.741  0.739  0.540 (multiplicity 1)
N  0.315  0.307  0.105 (multiplicity 1)

***

Entry from Alexandria via LeMat-Bulk: Ca2Tb4Pb3O2 after structural relaxation (GGA-PBE).

Computed properties:
energy relative to the elements, uncorrected = -1.417 eV/atom

a b c (Å): 4.761 4.761 25.377
angles (deg): 90.00 90.00 90.00
Space group I4/mmm (No. 139)
Inequivalent atoms, fractional coordinates:
Ca  0.000  0.000  0.196 (multiplicity 4)
Tb  0.000  0.500  0.086 (multiplicity 8)
Pb  0.000  0.000  0.326 (multiplicity 4)
Pb  0.000  0.000  0.500 (multiplicity 2)
O  0.000  0.000  0.096 (multiplicity 4)

***

Entry from Alexandria via LeMat-Bulk: CrSn2Pt2 after structural relaxation (GGA-PBE).

Computed properties:
E_form = 156.1 meV/atom
relative energy among the computed polymorphs = 0 meV per atom

a b c (Å): 7.057 7.057 3.769
angles (deg): 90.00 90.00 90.00
Space group P4/mbm (No. 127)
Inequivalent atoms, fractional coordinates:
Cr  0.000  0.000  0.000 (multiplicity 2)
Sn  0.171  0.329  0.500 (multiplicity 4)
Pt  0.137  0.637  0.000 (multiplicity 4)

***

Entry from Alexandria via LeMat-Bulk: Pu6Sn2Ge after structural relaxation (GGA-PBE).

Computed properties:
E_form = -141.2 meV/atom

a b c (Å): 8.8839 8.8839 3.2760
angles (deg): 90.00 90.00 120.00
Space group P6/mmm (No. 191)
Inequivalent atoms, fractional coordinates:
Pu  0.0000  0.3277  0.0000 (multiplicity 6)
Sn  0.3333  0.6667  0.5000 (multiplicity 2)
Ge  0.0000  0.0000  0.5000 (multiplicity 1)

***

Entry from Alexandria via LeMat-Bulk: KBaAu2 after structural relaxation (GGA-PBE).

Computed properties:
E_form = -447.4 meV/atom
relative energy among the computed polymorphs = 83 meV per atom

a b c (Å): 4.6376 4.6376 24.7408
angles (deg): 90.00 90.00 120.00
Space group R3m (No. 160, hexagonal axes)
Inequivalent atoms, fractional coordinates:
K  0.0000  0.0000  0.0000 (multiplicity 3)
Ba  0.0000  0.0000  0.1708 (multiplicity 3)
Au  0.0000  0.0000  0.5827 (multiplicity 3)
Au  0.0000  0.0000  0.7569 (multiplicity 3)

***

Entry from Alexandria via LeMat-Bulk: La2BiPt9 after structural relaxation (GGA-PBE).

Computed properties:
E_form = -651.4 meV/atom

a b c (Å): 5.4927 5.4927 26.9661
angles (deg): 90.00 90.00 120.00
Space group R-3m (No. 166, hexagonal axes)
Inequivalent atoms, fractional coordinates:
La  0.0000  0.0000  0.1351 (multiplicity 6)
Bi  0.0000  0.0000  0.0000 (multiplicity 3)
Pt  0.0000  0.0000  0.3320 (multiplicity 6)
Pt  0.0000  0.0000  0.5000 (multiplicity 3)
Pt  0.0034  0.5017  0.9147 (multiplicity 18)

***

Entry from Alexandria via LeMat-Bulk: GePAuN after structural relaxation (GGA-PBE).

Computed properties:
energy relative to the elements, uncorrected = 0.197 eV/atom
relative energy among the computed polymorphs = 113 meV per atom

a b c (Å): 4.195 3.138 5.249
angles (deg): 90.00 96.02 90.00
Space group Pm (No. 6)
Inequivalent atoms, fractional coordinates:
Ge  0.000  0.000  0.000 (multiplicity 1)
P  0.639  0.500  0.590 (multiplicity 1)
Au  0.147  0.000  0.508 (multiplicity 1)
N  0.715  0.500  0.912 (multiplicity 1)

***

Entry from Alexandria via LeMat-Bulk: ZrAgB2 after structural relaxation (GGA-PBE).

Computed properties:
E_form = 598.0 meV/atom
relative energy among the computed polymorphs = 0 meV per atom

a b c (Å): 5.920 5.920 5.920
angles (deg): 90.00 90.00 90.00
Space group Fm-3m (No. 225)
Inequivalent atoms, fractional coordinates:
Zr  0.000  0.000  0.000 (multiplicity 4)
Ag  0.000  0.000  0.500 (multiplicity 4)
B  0.250  0.250  0.250 (multiplicity 8)

***

Entry from Alexandria via LeMat-Bulk: PaTiH3 after structural relaxation (GGA-PBE).

Computed properties:
relative energy among the computed polymorphs = 138 meV per atom

a b c (Å): 3.719 3.719 3.719
angles (deg): 90.00 90.00 90.00
Space group Pm-3m (No. 221)
Inequivalent atoms, fractional coordinates:
Pa  0.000  0.000  0.000 (multiplicity 1)
Ti  0.500  0.500  0.500 (multiplicity 1)
H  0.000  0.500  0.500 (multiplicity 3)

***

Entry from Alexandria via LeMat-Bulk: ZnTeCl2 after structural relaxation (GGA-PBE).

Computed properties:
energy relative to the elements, uncorrected = 0.184 eV/atom
relative energy among the computed polymorphs = 808 meV per atom

a b c (Å): 5.303 5.303 3.273
angles (deg): 90.00 90.00 90.00
Space group P4/mmm (No. 123)
Inequivalent atoms, fractional coordinates:
Zn  0.000  0.000  0.000 (multiplicity 1)
Te  0.500  0.500  0.000 (multiplicity 1)
Cl  0.000  0.500  0.500 (multiplicity 2)

***

Entry from Alexandria via LeMat-Bulk: PrCdIn after structural relaxation (GGA-PBE).

Computed properties:
E_form = -439.8 meV/atom

a b c (Å): 11.483 4.992 7.622
angles (deg): 90.00 131.54 90.00
Space group C2/m (No. 12)
Inequivalent atoms, fractional coordinates:
Pr  0.019  0.000  0.272 (multiplicity 4)
Cd  0.164  0.500  0.702 (multiplicity 4)
In  0.166  0.500  0.138 (multiplicity 4)